# 1
This record from the Alexandria database describes LaErTm2Au4 after structural relaxation. The functional is PBE.

Cell and atoms, written as POSCAR:
```
LaErTm2Au4
1.0
5.053 0.000 0.000
2.526 4.376 0.000
2.526 1.459 8.627
La Er Tm Au
1 1 2 4
Direct
0.000 0.000 0.000
0.500 0.500 0.500
0.753 0.753 0.741
0.247 0.247 0.259
0.386 0.386 0.843
0.872 0.872 0.385
0.128 0.128 0.615
0.614 0.614 0.157
```

ΔE_f: -0.847 eV per atom
DFT total energy: -4.79 eV per atom
Theoretical density: 12.47 g/cm³
Crystal system: trigonal

# 2
This record from the Alexandria database describes KNbAg2 after structural relaxation. The functional is PBE.

Cell and atoms, written as POSCAR:
```
KNbAg2
1.0
0.000 3.620 3.620
3.620 0.000 3.620
3.620 3.620 0.000
Nb K Ag
1 1 2
Direct
0.500 0.500 0.500
0.000 0.000 0.000
0.250 0.250 0.250
0.750 0.750 0.750
```

ΔE to the lowest computed polymorph: 0.00 eV per formula unit
ΔE_f: 0.914 eV per atom
DFT total energy: -3.30 eV per atom
Theoretical density: 6.09 g/cm³
Crystal system: cubic

Repeat the first record exactly.
This record from the Alexandria database describes LaErTm2Au4 after structural relaxation. The functional is PBE.

Cell and atoms, written as POSCAR:
```
LaErTm2Au4
1.0
5.053 0.000 0.000
2.526 4.376 0.000
2.526 1.459 8.627
La Er Tm Au
1 1 2 4
Direct
0.000 0.000 0.000
0.500 0.500 0.500
0.753 0.753 0.741
0.247 0.247 0.259
0.386 0.386 0.843
0.872 0.872 0.385
0.128 0.128 0.615
0.614 0.614 0.157
```

ΔE_f: -0.847 eV per atom
DFT total energy: -4.79 eV per atom
Theoretical density: 12.47 g/cm³
Crystal system: trigonal

> The highest ΔE_f belongs to which entry?

KNbAg2

What did the first record say?
This record from the Alexandria database describes LaErTm2Au4 after structural relaxation. The functional is PBE.

Cell and atoms, written as POSCAR:
```
LaErTm2Au4
1.0
5.053 0.000 0.000
2.526 4.376 0.000
2.526 1.459 8.627
La Er Tm Au
1 1 2 4
Direct
0.000 0.000 0.000
0.500 0.500 0.500
0.753 0.753 0.741
0.247 0.247 0.259
0.386 0.386 0.843
0.872 0.872 0.385
0.128 0.128 0.615
0.614 0.614 0.157
```

ΔE_f: -0.847 eV per atom
DFT total energy: -4.79 eV per atom
Theoretical density: 12.47 g/cm³
Crystal system: trigonal